First-principles (GGA+U) data for a relaxed structure of CdCoO2, as listed in the Alexandria database.

abc: 3.534 3.534 6.077
angles: 115.81 115.81 49.19
Atoms (fractional coordinates):
1 Cd 0.000 0.000 0.000
2 Co 0.000 0.000 0.500
3 O 0.403 0.403 0.256
4 O 0.597 0.597 0.744

Computed properties:
**Symmetry**: C2/m
**Energy**: -18.879 eV for the cell shown
**DOS at the Fermi energy**: 1.9 states/eV/f.u.
**Size of the total moment**: 1.664 μB/f.u.